First-principles (PBE+U) data for crystalline MnV2BrO at its relaxed geometry, as listed in Alexandria via LeMat-Bulk.

Values from the calculation:
Uncorrected energy ... -4.18 eV/atom
Total magnetic moment ... 3.94 μB/cell

Cell: 4.8263 4.2969 4.8263 Å, 90.00 90.00 90.00°
Positions (direct):
V 0.0000 0.0000 0.5000
V 0.5000 0.0000 0.0000
O 0.0000 0.5000 0.0000
Mn 0.5000 0.5000 0.5000
Br 0.0000 0.0000 0.0000